NiIr3S6: relaxed, PBE.

The structure in POSCAR format:
```
NiIr3S6
1.0
3.165 -0.111 5.500
6.278 -0.887 0.284
4.005 4.619 1.703
Ni S Ir
1 6 3
direct
0.500 0.500 0.500
0.269 0.901 0.599
0.731 0.099 0.401
0.901 0.599 0.269
0.099 0.401 0.731
0.599 0.269 0.901
0.401 0.731 0.099
0.321 0.321 0.321
0.679 0.679 0.679
0.000 0.000 0.000
```

Properties
VASP energy ... -59.5 eV per cell
Crystal system ... trigonal
V ... 171.1 Å³ per cell

=====

CsGeAu: relaxed, PBE.

The structure in POSCAR format:
```
CsGeAu
1.0
0.000 3.750 3.750
3.750 0.000 3.750
3.750 3.750 0.000
Ge Cs Au
1 1 1
direct
0.750 0.750 0.750
0.250 0.250 0.250
0.000 0.000 0.000
```

Properties
VASP energy ... -7.3 eV per cell
Crystal system ... cubic
V ... 105.5 Å³ per cell

=====

YHoAl: relaxed, PBE.

The structure in POSCAR format:
```
YHoAl
1.0
-4.077 -0.927 2.877
-1.777 3.590 3.116
-4.407 2.298 -1.028
Y Al Ho
1 1 1
direct
0.000 0.000 0.000
0.250 0.250 0.250
0.750 0.750 0.750
```

Properties
VASP energy ... -13.2 eV per cell
Crystal system ... cubic
V ... 92.4 Å³ per cell